No. 1
Computed, not measured: a relaxed LiPr2Pt crystal at the PBE-GGA level of DFT.

```
LiPr2Pt
1.0
5.095 0.000 0.000
0.000 5.095 0.000
0.000 0.000 3.805
Li Pr Pt
1 2 1
Direct
0.000 0.000 0.000
0.000 0.500 0.500
0.500 0.000 0.500
0.500 0.500 0.000
```

Calculated values
- Space-group type: P4/mmm (123)
- Energy of formation from the pure elements: -503 meV per atom
- DOS(E_F): 3.0 states/eV/cell



No. 2
Computed, not measured: a relaxed LiPr4Pt crystal at the PBE-GGA level of DFT.

```
LiPr4Pt
1.0
-4.607 4.607 4.993
4.607 -4.607 4.993
4.607 4.607 -4.993
Li Pr Pt
2 8 2
Direct
0.000 0.000 0.000
0.750 0.250 0.500
0.208 0.517 0.691
0.267 0.076 0.809
0.267 0.458 0.191
0.296 0.984 0.312
0.672 0.984 0.688
0.734 0.546 0.812
0.734 0.922 0.188
0.826 0.517 0.309
0.253 0.753 0.500
0.503 0.503 0.000
```

Calculated values
- Space-group type: I4_1md (109)
- Energy of formation from the pure elements: -43 meV per atom
- DOS(E_F): 19.7 states/eV/cell



No. 3
Computed, not measured: a relaxed Li6PrPt2 crystal at the PBE-GGA level of DFT.

```
Li6PrPt2
1.0
6.128 -3.971 0.000
6.128 3.971 0.000
-1.405 0.000 3.923
Li Pr Pt
6 1 2
Direct
0.074 0.409 0.242
0.195 0.805 0.000
0.409 0.074 0.242
0.591 0.926 0.758
0.805 0.195 0.000
0.926 0.591 0.758
0.500 0.500 0.500
0.325 0.325 0.825
0.675 0.675 0.175
```

Calculated values
- Space-group type: C2/m (12)
- Energy of formation from the pure elements: -263 meV per atom
- DOS(E_F): 3.5 states/eV/cell



No. 4
Computed, not measured: a relaxed LiPrPt2 crystal at the PBE-GGA level of DFT.

```
LiPrPt2
1.0
4.327 0.000 0.000
0.000 4.327 0.000
0.000 0.000 4.062
Li Pr Pt
1 1 2
Direct
0.000 0.000 0.000
0.500 0.500 0.000
0.000 0.500 0.500
0.500 0.000 0.500
```

Calculated values
- Space-group type: P4/mmm (123)
- Energy of formation from the pure elements: -768 meV per atom
- DOS(E_F): 1.3 states/eV/cell



No. 5
Computed, not measured: a relaxed Li6PrPt4 crystal at the PBE-GGA level of DFT.

```
Li6PrPt4
1.0
-3.256 3.256 4.898
3.256 -3.256 4.898
3.256 3.256 -4.898
Li Pr Pt
6 1 4
Direct
0.000 0.500 0.500
0.010 0.010 0.623
0.387 0.387 0.377
0.500 0.000 0.500
0.613 0.990 0.000
0.990 0.613 0.000
0.500 0.500 0.000
0.111 0.111 0.366
0.255 0.889 0.000
0.745 0.745 0.634
0.889 0.255 0.000
```

Calculated values
- Space-group type: I-42m (121)
- Energy of formation from the pure elements: -411 meV per atom
- DOS(E_F): 3.9 states/eV/cell



No. 6
Computed, not measured: a relaxed Li4Pr3Pt4 crystal at the PBE-GGA level of DFT.

```
Li4Pr3Pt4
1.0
3.867 0.000 0.000
0.002 4.184 0.000
1.917 2.075 13.937
Li Pr Pt
4 3 4
Direct
0.095 0.095 0.308
0.249 0.749 0.002
0.751 0.251 0.998
0.905 0.905 0.692
0.354 0.354 0.792
0.500 0.000 0.500
0.646 0.646 0.208
0.049 0.549 0.401
0.185 0.186 0.128
0.815 0.814 0.872
0.951 0.451 0.599
```

Calculated values
- ΔE to the lowest computed polymorph: 29.0 meV per atom
- Space-group type: P-1 (2)
- Energy of formation from the pure elements: -729 meV per atom
- DOS(E_F): 5.8 states/eV/cell



No. 7
Computed, not measured: a relaxed LiPrPt2 crystal at the PBE-GGA level of DFT.

```
LiPrPt2
1.0
3.607 0.000 0.000
0.000 3.607 0.000
0.000 0.000 5.962
Li Pr Pt
1 1 2
Direct
0.000 0.000 0.000
0.000 0.000 0.500
0.500 0.500 0.226
0.500 0.500 0.774
```

Calculated values
- Space-group type: P4/mmm (123)
- Energy of formation from the pure elements: -789 meV per atom
- DOS(E_F): 1.0 states/eV/cell



No. 8
Computed, not measured: a relaxed LiPr2Pt9 crystal at the PBE-GGA level of DFT.

```
LiPr2Pt9
1.0
2.734 1.578 8.855
-2.734 1.578 8.855
0.000 -3.157 8.855
Li Pr Pt
1 2 9
Direct
0.000 0.000 0.000
0.136 0.136 0.136
0.864 0.864 0.864
0.080 0.586 0.586
0.332 0.332 0.332
0.414 0.414 0.920
0.414 0.920 0.414
0.500 0.500 0.500
0.586 0.080 0.586
0.586 0.586 0.080
0.668 0.668 0.668
0.920 0.414 0.414
```

Calculated values
- Space-group type: R-3m (166)
- Energy of formation from the pure elements: -670 meV per atom
- DOS(E_F): 9.3 states/eV/cell



No. 9
Computed, not measured: a relaxed Li2PrPt crystal at the PBE-GGA level of DFT.

```
Li2PrPt
1.0
2.056 -5.089 0.000
2.056 5.089 0.000
0.000 0.000 8.215
Li Pr Pt
4 2 2
Direct
0.169 0.831 0.557
0.169 0.831 0.943
0.831 0.169 0.057
0.831 0.169 0.443
0.446 0.554 0.750
0.554 0.446 0.250
0.261 0.739 0.250
0.739 0.261 0.750
```

Calculated values
- Space-group type: Cmcm (63)
- Energy of formation from the pure elements: -520 meV per atom
- DOS(E_F): 5.4 states/eV/cell



No. 10
Computed, not measured: a relaxed LiPr2Pt2 crystal at the PBE-GGA level of DFT.

```
LiPr2Pt2
1.0
-2.201 2.913 4.396
2.201 -2.913 4.396
2.201 2.913 -4.396
Li Pr Pt
1 2 2
Direct
0.000 0.000 0.000
0.302 0.802 0.500
0.698 0.198 0.500
0.257 0.500 0.757
0.743 0.500 0.243
```

Calculated values
- ΔE to the lowest computed polymorph: 0.0 meV per atom
- Space-group type: Immm (71)
- Energy of formation from the pure elements: -881 meV per atom
- DOS(E_F): 2.8 states/eV/cell



No. 11
Computed, not measured: a relaxed Li2Pr3Pt6 crystal at the PBE-GGA level of DFT.

```
Li2Pr3Pt6
1.0
-4.822 4.822 4.822
4.822 -4.822 4.822
4.822 4.822 -4.822
Li Pr Pt
4 6 12
Direct
0.000 0.000 0.500
0.000 0.500 0.000
0.500 0.000 0.000
0.500 0.500 0.500
0.000 0.302 0.302
0.000 0.698 0.698
0.302 0.000 0.302
0.302 0.302 0.000
0.698 0.000 0.698
0.698 0.698 0.000
0.000 0.331 0.669
0.000 0.669 0.331
0.331 0.000 0.669
0.331 0.331 0.662
0.331 0.662 0.331
0.331 0.669 0.000
0.338 0.669 0.669
0.662 0.331 0.331
0.669 0.000 0.331
0.669 0.331 0.000
0.669 0.338 0.669
0.669 0.669 0.338
```

Calculated values
- Space-group type: Im-3m (229)
- Energy of formation from the pure elements: -882 meV per atom
- DOS(E_F): 9.3 states/eV/cell



No. 12
Computed, not measured: a relaxed Li3PrPt crystal at the PBE-GGA level of DFT.

```
Li3PrPt
1.0
4.739 0.000 0.000
0.000 2.516 4.658
0.000 -2.516 4.658
Li Pr Pt
3 1 1
Direct
0.000 0.000 0.000
0.000 0.270 0.270
0.500 0.443 0.443
0.500 0.755 0.755
0.500 0.095 0.095
```

Calculated values
- Space-group type: Amm2 (38)
- Energy of formation from the pure elements: -272 meV per atom
- DOS(E_F): 3.5 states/eV/cell